Entry 1:
AcPrDy2Y2 PBE relaxed; ΔH_f (0 K) = 74 meV per atom; E_tot = -61.15 eV per cell
1.0
5.785 0.000 0.000
0.000 10.040 0.000
0.000 0.000 7.123
Ac Pr Dy Y
2 2 4 4
Direct
0.000 0.000 0.000
0.500 0.500 0.500
0.500 0.500 0.000
0.000 0.000 0.500
0.500 0.167 0.252
0.000 0.667 0.248
0.500 0.833 0.748
0.000 0.333 0.752
0.500 0.833 0.251
0.500 0.167 0.749
0.000 0.667 0.751
0.000 0.333 0.249

=====

Entry 2:
PaSiS4 PBE relaxed; E_tot = -72.73 eV per cell; raw formation energy = -822 meV per atom
1.0
-0.866 6.129 -2.240
-4.960 -2.086 -3.792
-5.170 1.450 5.966
Pa Si S
2 2 8
Direct
0.000 0.000 0.000
0.000 0.000 0.500
0.000 0.500 0.250
0.500 0.000 0.750
0.305 0.209 0.877
0.695 0.791 0.877
0.209 0.305 0.377
0.305 0.791 0.623
0.695 0.209 0.623
0.209 0.695 0.123
0.791 0.305 0.123
0.791 0.695 0.377

=====

Entry 3:
LaNpIn2O8 PBE relaxed; E_tot = -90.23 eV per cell; raw formation energy = -2268 meV per atom
1.0
5.049 -0.020 -0.003
0.019 5.049 -0.006
0.004 0.008 7.030
La Np In O
1 1 2 8
Direct
0.000 0.000 0.500
0.000 0.000 0.000
0.500 0.500 0.750
0.500 0.500 0.250
0.187 0.812 0.211
0.702 0.703 0.000
0.813 0.188 0.211
0.813 0.188 0.789
0.298 0.297 0.000
0.187 0.812 0.789
0.681 0.682 0.500
0.319 0.318 0.500

=====

Entry 4:
AlAsPt2 PBE relaxed; ΔH_f (0 K) = -264 meV per atom; E_tot = -21.53 eV per cell
1.0
-4.729 -5.672 2.103
-2.755 -5.403 4.709
-5.321 -3.385 4.380
As Al Pt
1 1 2
Direct
0.744 0.744 0.744
0.506 0.506 0.506
0.006 0.006 0.006
0.244 0.244 0.244

=====

Entry 5:
Tl4InAs PBE relaxed; ΔH_f (0 K) = 284 meV per atom; E_tot = -15.15 eV per cell
1.0
0.000 4.529 4.529
4.529 0.000 4.529
4.529 4.529 0.000
Tl In As
4 1 1
Direct
0.873 0.376 0.376
0.376 0.376 0.873
0.376 0.873 0.376
0.376 0.376 0.376
0.000 0.000 0.000
0.750 0.750 0.750

=====

Entry 6:
Hf2TcIr PBE relaxed; ΔH_f (0 K) = 340 meV per atom; E_tot = -75.54 eV per cell
1.0
-0.843 -2.253 -3.517
1.870 -3.412 1.738
-7.174 -5.302 2.534
Ir Hf Tc
2 4 2
Direct
0.000 0.000 0.000
0.750 0.250 0.500
0.623 0.125 0.250
0.127 0.625 0.250
0.375 0.377 0.750
0.875 0.873 0.750
0.500 0.500 0.000
0.250 0.750 0.500

=====

Entry 7:
Dy8ZnAg2 PBE relaxed; ΔH_f (0 K) = -143 meV per atom; E_tot = -45.37 eV per cell
1.0
5.190 0.000 0.000
0.000 6.875 0.145
-2.595 -2.776 8.423
Dy Zn Ag
8 1 2
Direct
0.407 0.543 0.815
0.666 0.977 0.333
0.803 0.688 0.606
0.973 0.219 0.945
0.197 0.312 0.394
0.334 0.023 0.667
0.593 0.457 0.185
0.027 0.781 0.055
0.500 0.000 0.000
0.817 0.280 0.634
0.183 0.720 0.366

=====

Entry 8:
Ac7NdSm2 PBE relaxed; ΔH_f (0 K) = 603 meV per atom; E_tot = -36.93 eV per cell
1.0
6.097 0.000 0.000
0.000 9.562 1.511
0.000 2.932 9.226
Ac Nd Sm
7 1 2
Direct
0.000 0.243 0.243
0.000 0.757 0.757
0.500 0.939 0.309
0.500 0.061 0.691
0.500 0.691 0.061
0.500 0.309 0.939
0.500 0.500 0.500
0.000 0.000 0.000
0.500 0.299 0.299
0.500 0.701 0.701

=====

Entry 9:
Mn2RhW PBE relaxed; ΔH_f (0 K) = 5 meV per atom; E_tot = -38.62 eV per cell
1.0
2.730 0.000 0.000
0.000 2.730 0.000
0.000 0.000 7.277
Mn Rh W
2 1 1
Direct
0.000 0.000 0.020
0.500 0.500 0.233
0.000 0.000 0.490
0.500 0.500 0.757

=====

Entry 10:
Ac3Tb2Nd5 PBE relaxed; ΔH_f (0 K) = 40 meV per atom; E_tot = -90.06 eV per cell
1.0
9.366 -1.996 -2.582
-3.342 8.907 -2.870
-0.311 -0.111 9.912
Ac Tb Nd
6 4 10
Direct
0.229 0.078 0.049
0.771 0.922 0.951
0.583 0.534 0.352
0.417 0.466 0.648
0.178 0.727 0.154
0.822 0.273 0.846
0.930 0.978 0.645
0.070 0.022 0.355
0.324 0.774 0.849
0.676 0.226 0.151
0.274 0.425 0.945
0.726 0.575 0.055
0.028 0.677 0.455
0.527 0.175 0.448
0.972 0.323 0.545
0.473 0.825 0.552
0.881 0.626 0.748
0.119 0.374 0.252
0.370 0.116 0.747
0.630 0.884 0.253

=====

Entry 11:
La8Os3PtBr3 PBE relaxed; E_tot = -96.51 eV per cell; raw formation energy = -823 meV per atom
1.0
8.465 -0.003 -0.001
-4.235 7.333 -0.029
0.001 -4.864 7.759
La Os Pt Br
8 3 1 3
Direct
0.267 0.533 0.301
0.733 0.467 0.699
0.762 0.524 0.303
0.238 0.476 0.697
0.762 0.041 0.304
0.238 0.959 0.696
0.279 0.041 0.303
0.721 0.959 0.697
0.500 0.000 0.500
0.500 0.500 0.500
0.000 0.500 0.500
0.000 0.000 0.500
0.000 0.000 0.000
0.000 0.500 0.000
0.500 0.500 0.000

=====

Entry 12:
LiAlSe2 PBE relaxed; E_tot = -13.45 eV per cell; raw formation energy = -206 meV per atom
1.0
-1.866 1.120 -2.083
1.363 -2.354 -1.294
-7.141 -5.907 3.219
Al Li Se
1 1 2
Direct
0.000 0.000 0.501
0.500 0.500 0.749
0.000 0.000 0.933
0.500 0.500 0.317

=====

Entry 13:
LiSnPb2 PBE relaxed; ΔH_f (0 K) = 63 meV per atom; E_tot = -13.08 eV per cell
1.0
-3.223 -1.357 -0.205
-0.425 -3.459 -0.343
-1.470 -2.674 10.903
Pb Sn Li
2 1 1
Direct
0.085 0.085 0.744
0.915 0.915 0.256
0.500 0.500 0.500
0.000 0.000 0.000

=====

Entry 14:
La2Nd12Mg PBE relaxed; ΔH_f (0 K) = 263 meV per atom; E_tot = -129.45 eV per cell
1.0
6.737 0.000 0.000
0.000 6.737 0.000
0.000 0.000 24.456
La Nd Mg
4 24 2
Direct
0.500 0.000 0.246
0.000 0.500 0.246
0.000 0.500 0.754
0.500 0.000 0.754
0.500 0.500 0.797
0.000 0.000 0.797
0.758 0.742 0.902
0.258 0.758 0.902
0.000 0.000 0.331
0.242 0.742 0.098
0.834 0.334 0.564
0.500 0.500 0.331
0.242 0.258 0.902
0.742 0.758 0.098
0.334 0.166 0.564
0.666 0.166 0.436
0.000 0.000 0.669
0.166 0.334 0.436
0.258 0.242 0.098
0.834 0.666 0.436
0.666 0.834 0.564
0.000 0.000 0.203
0.166 0.666 0.564
0.500 0.500 0.669
0.742 0.242 0.902
0.500 0.500 0.203
0.334 0.834 0.436
0.758 0.258 0.098
0.500 0.000 0.000
0.000 0.500 0.000

=====

Entry 15:
Sc2TaCu PBE relaxed; ΔH_f (0 K) = 162 meV per atom; E_tot = -27.97 eV per cell
1.0
-7.089 -1.319 0.424
3.545 -1.830 3.061
-1.411 1.272 2.396
Cu Sc Ta
1 2 1
Direct
0.500 0.500 0.000
0.000 0.000 0.000
0.500 0.000 0.500
0.000 0.500 0.500

=====

Entry 16:
CaLaI2N PBE relaxed; E_tot = -19.94 eV per cell; raw formation energy = -317 meV per atom
1.0
5.955 0.000 0.000
0.000 5.955 0.000
0.000 0.000 4.306
I Ca N La
2 1 1 1
Direct
0.000 0.500 0.000
0.500 0.000 0.000
0.000 0.000 0.000
0.000 0.000 0.500
0.500 0.500 0.500

=====

Entry 17:
ScSnI PBE relaxed; E_tot = -55.68 eV per cell; raw formation energy = -678 meV per atom
1.0
-3.426 -0.965 2.052
1.019 -3.976 -0.170
10.598 1.921 18.600
Sc Sn I
4 4 4
Direct
0.000 0.000 0.897
0.000 0.000 0.103
0.500 0.500 0.397
0.500 0.500 0.603
0.000 0.500 0.000
0.500 0.000 0.000
0.500 0.000 0.500
0.000 0.500 0.500
0.000 0.000 0.331
0.000 0.000 0.669
0.500 0.500 0.831
0.500 0.500 0.169

=====

Entry 18:
CeScPa2P4 PBE relaxed; ΔH_f (0 K) = -1380 meV per atom; E_tot = -63.93 eV per cell
1.0
3.959 0.000 0.000
0.000 6.840 0.116
0.000 -2.393 6.396
Ce Sc Pa P
1 1 2 4
Direct
0.000 0.000 0.000
0.500 0.500 0.000
0.500 0.000 0.500
0.000 0.500 0.500
0.500 0.259 0.250
0.500 0.741 0.750
0.000 0.260 0.755
0.000 0.740 0.245

=====

Entry 19:
Ce3P2IrRh9 PBE relaxed; ΔH_f (0 K) = -525 meV per atom; E_tot = -111.53 eV per cell
1.0
5.566 0.000 0.000
-2.783 4.820 0.000
0.000 0.000 10.519
Ce P Ir Rh
3 2 1 9
Direct
0.333 0.667 0.596
0.000 0.000 0.000
0.667 0.333 0.404
0.333 0.667 0.156
0.667 0.333 0.844
0.000 0.000 0.500
0.838 0.162 0.699
0.838 0.676 0.699
0.324 0.162 0.699
0.676 0.838 0.301
0.162 0.324 0.301
0.162 0.838 0.301
0.500 0.000 0.000
0.000 0.500 0.000
0.500 0.500 0.000

=====

Entry 20:
Ge8Mo6Pd PBE relaxed; ΔH_f (0 K) = 23 meV per atom; E_tot = -106.78 eV per cell
1.0
6.521 1.442 1.489
1.238 6.562 1.489
1.238 1.277 6.607
Ge Mo Pd
8 6 1
Direct
0.703 0.703 0.703
0.297 0.297 0.297
0.598 0.971 0.143
0.971 0.143 0.598
0.143 0.598 0.971
0.402 0.029 0.857
0.029 0.857 0.402
0.857 0.402 0.029
0.559 0.355 0.795
0.355 0.795 0.559
0.795 0.559 0.355
0.441 0.645 0.205
0.645 0.205 0.441
0.205 0.441 0.645
0.000 0.000 0.000